(i)
The following is a DFT calculation (PBE) of a geometry-optimized La2MgCdRu structure.

Lattice parameters (Å, degrees): 5.3677 5.3677 5.2438 90.00 90.00 90.00
Closest atoms and distances in Å follow each position.
Element x y z (fractional)
La 0.0000 0.5000 0.0000  2 Ru 2.68
La 0.5000 0.0000 0.0000  2 Ru 2.68
Mg 0.0000 0.0000 0.5000  2 Ru 2.62
Cd 0.5000 0.5000 0.5000  8 La 3.75, 4 Mg 3.80
Ru 0.0000 0.0000 0.0000  2 Mg 2.62, 4 La 2.68

Output
The space group is P4/mmm. The value obtained for the density of states at the Fermi level is 3.59 states/eV per cell. The calculation puts the calculated density at 5667 kg/m3. The value obtained for the total moment is 0.0 μB/cell.



(ii)
The following is a DFT calculation (PBE) of a geometry-optimized La2MgCdRu structure.

Lattice parameters (Å, degrees): 5.3479 5.3479 5.4194 90.00 90.00 90.00
Closest atoms and distances in Å follow each position.
Element x y z (fractional)
La 0.0000 0.5000 0.0000  2 Ru 2.67
La 0.5000 0.0000 0.0000  2 Ru 2.67
Mg 0.0000 0.0000 0.5000  4 Cd 3.78, 8 La 3.81
Cd 0.5000 0.5000 0.5000  2 Ru 2.71
Ru 0.5000 0.5000 0.0000  4 La 2.67, 2 Cd 2.71

Output
The space group is P4/mmm. The value obtained for the density of states at the Fermi level is 3.91 states/eV per cell. The calculation puts the calculated density at 5524 kg/m3. The value obtained for the total moment is 0.0 μB/cell.



Result of the stability comparison: (i) is the most stable of them.



(i)
The following is a DFT calculation (PBE) of a geometry-optimized LaMnCd3 structure.

Lattice parameters (Å, degrees): 6.0684 6.0684 6.0684 90.00 90.00 90.00
Closest atoms and distances in Å follow each position.
Element x y z (fractional)
La 0.0000 0.0000 0.0000  6 Cd 3.03
Mn 0.5000 0.5000 0.5000  12 Cd 4.29
Cd 0.0000 0.0000 0.5000  2 La 3.03
Cd 0.0000 0.5000 0.0000  2 La 3.03
Cd 0.5000 0.0000 0.0000  2 La 3.03

Output
The space group is Pm-3m. The value obtained for the density of states at the Fermi level is 8.02 states/eV per cell. The calculation puts the calculated density at 3946 kg/m3. The value obtained for the total moment is 3.3 μB/cell.



(ii)
The following is a DFT calculation (PBE) of a geometry-optimized LaMnCd3 structure.

Lattice parameters (Å, degrees): 5.0172 5.0172 5.0172 90.00 90.00 90.00
Closest atoms and distances in Å follow each position.
Element x y z (fractional)
La 0.0000 0.0000 0.0000  12 Cd 3.55
Mn 0.5000 0.5000 0.5000  6 Cd 2.51
Cd 0.0000 0.5000 0.5000  2 Mn 2.51
Cd 0.5000 0.0000 0.5000  2 Mn 2.51
Cd 0.5000 0.5000 0.0000  2 Mn 2.51

Output
The space group is Pm-3m. The value obtained for the density of states at the Fermi level is 2.90 states/eV per cell. The calculation puts the calculated density at 6983 kg/m3. The value obtained for the total moment is 0.0 μB/cell.



Result of the stability comparison: (ii) is the most stable of them.



(i)
The following is a DFT calculation (PBE) of a geometry-optimized LaCd2Mo structure.

Lattice parameters (Å, degrees): 2.9864 2.9864 9.7576 90.00 90.00 90.00
Closest atoms and distances in Å follow each position.
Element x y z (fractional)
La 0.0000 0.0000 0.0000  4 La 2.99
Cd 0.5000 0.5000 0.2814  4 Cd 2.99, 4 Mo 3.00
Cd 0.5000 0.5000 0.7186  4 Cd 2.99, 4 Mo 3.00
Mo 0.0000 0.0000 0.5000  4 Mo 2.99, 8 Cd 3.00

Output
The space group is P4/mmm. The value obtained for the density of states at the Fermi level is 3.29 states/eV per cell. The calculation puts the calculated density at 8771 kg/m3. The value obtained for the total moment is 0.0 μB/cell.



(ii)
The following is a DFT calculation (PBE) of a geometry-optimized LaCd2Mo structure.

Lattice parameters (Å, degrees): 3.2490 5.5332 10.3843 90.00 90.00 90.00
Closest atoms and distances in Å follow each position.
Element x y z (fractional)
La 0.0000 0.0000 0.0000  2 Mo 2.90, 4 Cd 3.24
La 0.5000 0.5000 0.5000  2 Mo 2.90, 4 Cd 3.24
Cd 0.0000 0.0000 0.4559  2 Mo 2.85, 2 Cd 3.10
Cd 0.0000 0.5000 0.2098  4 Cd 3.10-3.25, 4 Mo 3.22, 2 La 3.42
Cd 0.5000 0.0000 0.7098  4 Cd 3.10-3.25, 4 Mo 3.22, 2 La 3.42
Cd 0.5000 0.5000 0.9559  2 Mo 2.85, 2 Cd 3.10
Mo 0.0000 0.5000 0.7308  2 Cd 2.85, 2 La 2.90
Mo 0.5000 0.0000 0.2308  2 Cd 2.85, 2 La 2.90

Output
The space group is Imm2. The value obtained for the density of states at the Fermi level is 5.50 states/eV per cell. The calculation puts the calculated density at 8178 kg/m3. The value obtained for the total moment is 1.8 μB/cell.



(iii)
The following is a DFT calculation (PBE) of a geometry-optimized LaCd2Mo structure.

Lattice parameters (Å, degrees): 3.1642 5.2237 5.6292 90.00 105.16 90.00
Closest atoms and distances in Å follow each position.
Element x y z (fractional)
La 0.0000 0.0000 0.0000  2 Mo 2.81
Cd 0.3811 0.5000 0.7240  3 Cd 2.81-3.00, 2 Mo 3.01
Cd 0.6189 0.5000 0.2760  3 Cd 2.81-3.00, 2 Mo 3.01
Mo 0.0000 0.0000 0.5000  2 La 2.81, 4 Cd 3.01

Output
The space group is P2/m. The value obtained for the density of states at the Fermi level is 4.03 states/eV per cell. The calculation puts the calculated density at 8500 kg/m3. The value obtained for the total moment is 0.0 μB/cell.



Result of the stability comparison: (iii) is the most stable of them.